Compound: Rb2InCuF6
Source: the Alexandria database
Functional: PBE
Structure: relaxed

Calculated values
Energy above the lowest structure with this stoichiometry in meV per atom: 0
E_tot in eV/atom: -4.35

a b c (Å): 6.4863 6.4863 8.2284
angles (deg): 90.00 90.00 90.00
Closest atoms and distances in Å follow each position.
Space group I4/mmm (No. 139)
Unique sites:
Rb 0.0000 0.5000 0.2500  12 F 3.09-3.24
In 0.0000 0.0000 0.0000  6 F 2.10-2.17
Cu 0.0000 0.0000 0.5000  2 F 1.95
F 0.0000 0.0000 0.2632  1 Cu 1.95, 1 In 2.17
F 0.2290 0.2290 0.0000  1 In 2.10

Compound: Rb2InCuF6
Source: the Alexandria database
Functional: PBE
Structure: relaxed

Calculated values
Energy above the lowest structure with this stoichiometry in meV per atom: 7
E_tot in eV/atom: -4.34

a b c (Å): 8.7296 8.7296 8.7296
angles (deg): 90.00 90.00 90.00
Closest atoms and distances in Å follow each position.
Space group Fm-3m (No. 225)
Unique sites:
Rb 0.2500 0.2500 0.2500  12 F 3.09
In 0.0000 0.0000 0.0000  6 F 2.14
Cu 0.0000 0.0000 0.5000  6 F 2.23
F 0.0000 0.0000 0.2448  1 In 2.14, 1 Cu 2.23

Compound: InCuSbF2
Source: the Alexandria database
Functional: PBE
Structure: relaxed

Calculated values
E_tot in eV/atom: -3.80

a b c (Å): 4.1496 4.1496 5.3617
angles (deg): 90.00 90.00 90.00
Closest atoms and distances in Å follow each position.
Space group P4/mmm (No. 123)
Unique sites:
In 0.0000 0.0000 0.0000  4 Sb 2.93
Cu 0.5000 0.5000 0.5000  4 F 2.07
Sb 0.5000 0.5000 0.0000  2 Cu 2.68, 4 In 2.93
F 0.0000 0.5000 0.5000  2 Cu 2.07

Compound: TlInCu2F
Source: the Alexandria database
Functional: PBE
Structure: relaxed

Calculated values
E_tot in eV/atom: -2.67

a b c (Å): 4.8804 4.8804 5.9920
angles (deg): 90.00 90.00 90.00
Closest atoms and distances in Å follow each position.
Space group P4/mmm (No. 123)
Unique sites:
Tl 0.0000 0.0000 0.0000  4 Cu 2.44
In 0.0000 0.0000 0.5000  2 Tl 3.00
Cu 0.0000 0.5000 0.0000  2 Tl 2.44
F 0.5000 0.5000 0.5000  4 In 3.45, 8 Cu 3.86

Compound: Tl2InCu3F12
Source: the Alexandria database
Functional: PBE
Structure: relaxed

Calculated values
E_tot in eV/atom: -4.15

a b c (Å): 7.3622 7.3622 18.4539
angles (deg): 90.00 90.00 120.00
Closest atoms and distances in Å follow each position.
Space group R-3m (No. 166, hexagonal axes)
Unique sites:
Tl 0.0000 0.0000 0.1075  9 F 3.09-3.41
In 0.0000 0.0000 0.5000  6 F 2.11
Cu 0.0000 0.5000 0.0000  6 F 1.96-2.02
F 0.0497 0.5249 0.1079  1 Cu 2.02, 1 In 2.11
F 0.0696 0.5348 0.3477  2 Cu 1.96

Compound: TlInCu2F8
Source: the Alexandria database
Functional: PBE
Structure: relaxed

Calculated values
E_tot in eV/atom: -4.12

a b c (Å): 5.5274 5.5274 22.2342
angles (deg): 90.00 90.00 120.00
Closest atoms and distances in Å follow each position.
Space group R-3 (No. 148, hexagonal axes)
Unique sites:
Tl 0.0000 0.0000 0.0000  12 F 3.14-3.20
In 0.0000 0.0000 0.5000  6 F 2.11
Cu 0.0000 0.0000 0.2418  4 F 1.81-1.98
F 0.0000 0.0000 0.3234  1 Cu 1.81
F 0.0072 0.6875 0.5532  1 Cu 1.98, 1 In 2.11

Listing M_tot for the structures above in their given order: 0.044; 0.089; 0.000; 0.000; 3.723; 2.001 μB per formula unit.
Listing formation energy (no corrections) for the structures above in their given order: -2.35; -2.34; -0.86; 0.36; -1.81; -1.77 eV/atom.